Here is an optimized crystal structure of LaAgHgRh from Alexandria via LeMat-Bulk. Energies are from PBE.

The structure in POSCAR format:
```
LaAgHgRh
1.0
0.0000 3.5215 3.5215
3.5215 0.0000 3.5215
3.5215 3.5215 0.0000
La Ag Hg Rh
1 1 1 1
Cartesian
0.0000 0.0000 0.0000
1.7607 1.7607 1.7607
3.5215 3.5215 3.5215
5.2822 5.2822 5.2822
```

Summary:
* DOS(E_F): 0.685 states/eV per atom
* SG: F-43m
* ΔE_f: -0.28 eV per atom
* VASP energy: -4.1395 eV/atom